The following is a PBE-GGA calculation of AlZn2Ag2 after structural relaxation, from Alexandria.

Calculated values
Crystal system: tetragonal
ΔE_f (eV/atom): 0.10

a b c (Å): 3.5368 3.5368 14.0145
angles (deg): 90.00 90.00 90.00
Last column: nearest neighbours and their distance in Å.
Space group I4/mmm (No. 139)
Symmetry-distinct sites (fractional):
Al 0.0000 0.0000 0.0000 (multiplicity 2)  8 Ag 2.86
Zn 0.0000 0.5000 0.2500 (multiplicity 4)  4 Zn 2.50, 4 Ag 2.76
Ag 0.0000 0.0000 0.4008 (multiplicity 4)  4 Zn 2.76, 1 Ag 2.78, 4 Al 2.86

---

The following is a PBE-GGA calculation of Al3Zn2Ag8 after structural relaxation, from Alexandria.

Calculated values
Crystal system: monoclinic
ΔE_f (eV/atom): 0.07

a b c (Å): 8.0117 4.0681 8.1917
angles (deg): 90.00 114.68 90.00
Last column: nearest neighbours and their distance in Å.
Space group P2/m (No. 10)
Symmetry-distinct sites (fractional):
Al 0.0000 0.0000 0.0000 (multiplicity 1)  8 Ag 2.72-2.86, 4 Al 2.97
Al 0.2474 0.5000 0.2474 (multiplicity 2)  8 Ag 2.67-2.84, 2 Al 2.97
Zn 0.2567 0.0000 0.7375 (multiplicity 2)  8 Ag 2.64-2.79
Ag 0.1144 0.0000 0.3807 (multiplicity 2)  2 Zn 2.66-2.72, 3 Al 2.73-2.86
Ag 0.1337 0.5000 0.8698 (multiplicity 2)  2 Zn 2.68, 4 Al 2.72-2.84, 4 Ag 2.95-2.98
Ag 0.3813 0.0000 0.1107 (multiplicity 2)  2 Zn 2.64-2.79, 3 Al 2.75-2.80, 2 Ag 2.95
Ag 0.3863 0.5000 0.6089 (multiplicity 2)  2 Al 2.67-2.69, 2 Zn 2.69

---

| no. | M_tot (μB/f.u.) | uncorrected energy (eV/cell) |
| --- | --- | --- |
| 1 | 0.000 | -23.00 |
| 2 | 0.000 | -35.67 |